# 1
VASP calculation (PBE-GGA) on crystalline CeHoTe2Cl at its relaxed geometry.

abc: 4.375 4.375 15.061
angles: 90.00 90.00 90.00
Site moments in Bohr magnetons follow the coordinates.
Fractional positions:
Ce1 0.000 0.500 0.366  1.12
Te1 0.000 0.500 0.707  -0.02
Te2 0.500 0.000 0.882  0.00
Te3 0.000 0.500 0.118  0.00
Ho1 0.500 0.000 0.087  -0.01
Cl1 0.000 0.000 0.500  -0.01
Ho2 0.000 0.500 0.913  -0.01
Ce2 0.500 0.000 0.634  1.12
Te4 0.500 0.000 0.293  -0.02
Cl2 0.500 0.500 0.500  -0.01

Values from the calculation:
formation energy without anion corrections = -1.5596 eV per atom
space group = P4/nmm (129)
magnetization = 2.4 μB/cell
density = 6.86 g cm⁻³

---

# 2
VASP calculation (PBE-GGA) on crystalline CeMgAg4 at its relaxed geometry.

abc: 5.643 5.643 5.643
angles: 60.00 60.00 60.00
Site moments in Bohr magnetons follow the coordinates.
Fractional positions:
Ag1 0.123 0.626 0.626  -0.01
Mg1 0.000 0.000 0.000  -0.01
Ce1 0.250 0.250 0.250  0.74
Ag2 0.626 0.626 0.626  -0.01
Ag3 0.626 0.123 0.626  -0.01
Ag4 0.626 0.626 0.123  -0.01

Values from the calculation:
ΔE to the lowest computed polymorph = 0.000 eV per atom
DFT formation energy = -0.8 eV per formula unit
space group = F-43m (216)
magnetization = 0.6 μB/cell
density = 7.79 g cm⁻³

---

# 3
VASP calculation (PBE-GGA) on crystalline PaBiAu4 at its relaxed geometry.

abc: 5.701 5.701 5.701
angles: 60.00 60.00 60.00
Site moments in Bohr magnetons follow the coordinates.
Fractional positions:
Au1 0.625 0.625 0.124  0.02
Au2 0.625 0.124 0.625  0.02
Au3 0.124 0.625 0.625  0.02
Pa1 0.000 0.000 0.000  1.30
Bi1 0.250 0.250 0.250  0.04
Au4 0.625 0.625 0.625  0.02

Values from the calculation:
DFT formation energy = -0.8 eV per formula unit
space group = F-43m (216)
magnetization = 1.7 μB/cell
density = 15.56 g cm⁻³